Material: TcNiSnPd2
Method: DFT, SCAN
State: single point on PBEsol structure

Values from the calculation:
Its crystal system is tetragonal. The calculation puts the total energy at -145.6 eV per cell. The symmetry is No. 123.

a = 4.6551 Å, b = 4.6551 Å, c = 4.9938 Å
α = 90.00°, β = 90.00°, γ = 90.00°
Positions (direct):
Tc 0.0000 0.0000 0.0000
Ni 0.5000 0.5000 0.5000
Sn 0.0000 0.0000 0.5000
Pd 0.0000 0.5000 0.0000
Pd 0.5000 0.0000 0.0000